Record 1
## NdHoOsPd (PBE)

Data for a geometry-optimized NdHoOsPd structure.

abc: 4.9504 4.9504 4.9504
angles: 60.00 60.00 60.00
With the nearest neighbours (Å) after each atom.
Fractional coordinates of all 4 atoms:
Os (0.5000, 0.5000, 0.5000)  4 Ho 3.03, 4 Nd 3.03
Ho (0.7500, 0.7500, 0.7500)  4 Pd 3.03, 4 Os 3.03
Nd (0.2500, 0.2500, 0.2500)  4 Os 3.03, 4 Pd 3.03
Pd (0.0000, 0.0000, 0.0000)  4 Nd 3.03, 4 Ho 3.03

Formation enthalpy at 0 K = -0.43 eV per atom

***

Record 2
## Nd5Ho3P8 (PBE)

Data for a geometry-optimized Nd5Ho3P8 structure.

abc: 8.2032 8.2032 8.2013
angles: 59.99 59.99 60.00
With the nearest neighbours (Å) after each atom.
Fractional coordinates of all 16 atoms:
P (0.7500, 0.2427, 0.2573)  2 Ho 2.86, 4 Nd 2.90-2.94
P (0.7573, 0.2500, 0.7427)  2 Ho 2.86, 4 Nd 2.90-2.94
P (0.7500, 0.7500, 0.2573)  2 Ho 2.86, 4 Nd 2.90-2.94
P (0.2464, 0.2464, 0.2608)  3 Ho 2.86, 3 Nd 2.94
P (0.2427, 0.7500, 0.2573)  2 Ho 2.86, 4 Nd 2.90-2.94
P (0.2500, 0.7573, 0.7427)  2 Ho 2.86, 4 Nd 2.90-2.94
P (0.7536, 0.7536, 0.7392)  3 Ho 2.86, 3 Nd 2.94
P (0.2500, 0.2500, 0.7427)  2 Ho 2.86, 4 Nd 2.90-2.94
Nd (0.5000, 0.0000, 0.0000)  6 P 2.94
Nd (0.0000, 0.0000, 0.0000)  6 P 2.90
Nd (0.5000, 0.5000, 0.5000)  6 P 2.90
Nd (0.0000, 0.5000, 0.0000)  6 P 2.94
Nd (0.5000, 0.5000, 0.0000)  6 P 2.94
Ho (0.0000, 0.5000, 0.5000)  6 P 2.86
Ho (0.0000, 0.0000, 0.5000)  6 P 2.86
Ho (0.5000, 0.0000, 0.5000)  6 P 2.86

Formation enthalpy at 0 K = -1.56 eV per atom

***

Record 3
## NdHo3P4 (PBE)

Data for a geometry-optimized NdHo3P4 structure.

abc: 4.0354 6.9852 6.9852
angles: 70.54 90.00 90.00
With the nearest neighbours (Å) after each atom.
Fractional coordinates of all 8 atoms:
Ho (0.5000, 0.0001, 0.5000)  6 P 2.81
Ho (0.0000, 0.0001, 0.0000)  6 P 2.85
Ho (0.0000, 0.5001, 0.5000)  6 P 2.85
P (0.0000, 0.2428, 0.2573)  4 Ho 2.81-2.85, 2 Nd 2.90
P (0.0000, 0.7575, 0.7426)  4 Ho 2.81-2.85, 2 Nd 2.90
P (0.5000, 0.2465, 0.7464)  5 Ho 2.81-2.85, 1 Nd 2.89
P (0.4999, 0.7537, 0.2536)  5 Ho 2.81-2.85, 1 Nd 2.89
Nd (0.5000, 0.5001, 0.0000)  6 P 2.89-2.90

Formation enthalpy at 0 K = -1.58 eV per atom

***

Computed values of E_tot (unit: eV per atom) for the preceding records, in sequence: -6.87, -6.61, -6.60.
Computed values of DOS(E_F) (unit: states/eV per atom) for the preceding records, in sequence: 0.66, 0.13, 0.10.